[1]
First-principles (GGA-PBE) data for a relaxed Zn2Pd4Au3 crystal, as listed in Alexandria via LeMat-Bulk.

a = 3.9355 Å, b = 4.8316 Å, c = 8.6162 Å
α = 104.48°, β = 90.17°, γ = 113.97°
Closest atoms and distances in Å follow each position.
Space group P-1 (No. 2)
Inequivalent atoms, fractional coordinates:
Zn: 0.1692 0.3379 0.2136  7 Pd 2.71-2.88, 5 Au 2.82-2.98
Pd: 0.1687 0.3377 0.8864  4 Zn 2.71-2.87, 4 Au 2.80-2.82, 4 Pd 2.85-2.87
Pd: 0.4931 0.9855 0.6722  3 Zn 2.76-2.88, 6 Au 2.79-2.87, 3 Pd 2.85-3.00
Au: 0.1648 0.3294 0.5587  6 Pd 2.79-2.87, 3 Au 2.80-2.83, 3 Zn 2.88-2.98
Au: 0.5000 0.0000 0.0000  8 Pd 2.80-2.82, 4 Zn 2.82-2.83

Values from the calculation:
The energy above the lowest structure with this stoichiometry comes out at 0.000 eV/atom. The density of states at the Fermi level comes out at 0.327 states/eV/atom. The calculated total energy is -3.96 eV/atom.

***

[2]
First-principles (GGA-PBE) data for a relaxed ZnPdAu6 crystal, as listed in Alexandria via LeMat-Bulk.

a = 5.1004 Å, b = 5.3609 Å, c = 5.3655 Å
α = 93.19°, β = 94.09°, γ = 93.11°
Closest atoms and distances in Å follow each position.
Space group P-1 (No. 2)
Inequivalent atoms, fractional coordinates:
Zn: 0.0000 0.0000 0.0000  6 Au 2.65-2.75
Pd: 0.5000 0.5000 0.5000  8 Au 2.80-3.02
Au: 0.0332 0.7475 0.4286  1 Zn 2.73, 2 Pd 2.80-3.02, 7 Au 2.81-3.05
Au: 0.2507 0.5825 0.9468  1 Zn 2.65, 5 Au 2.77-2.89, 1 Pd 2.82
Au: 0.4484 0.0392 0.7464  7 Au 2.75-3.05, 2 Zn 2.75-3.06, 1 Pd 2.87

Values from the calculation:
The energy above the lowest structure with this stoichiometry comes out at 0.094 eV/atom. The density of states at the Fermi level comes out at 0.198 states/eV/atom. The calculated total energy is -3.28 eV/atom.

***

[3]
First-principles (GGA-PBE) data for a relaxed Zn5Pd8Au crystal, as listed in Alexandria via LeMat-Bulk.

a = 7.6086 Å, b = 7.6086 Å, c = 7.6602 Å
α = 90.00°, β = 90.00°, γ = 90.00°
Closest atoms and distances in Å follow each position.
Space group I-4 (No. 82)
Inequivalent atoms, fractional coordinates:
Zn: 0.0000 0.0000 0.0000  8 Pd 2.53-2.62
Zn: 0.1307 0.7704 0.5998  8 Pd 2.56-2.77
Pd: 0.0700 0.6727 0.9201  5 Zn 2.61-2.77, 2 Pd 2.81-2.84, 1 Au 2.90
Pd: 0.0905 0.8390 0.2754  5 Zn 2.53-2.65, 1 Au 2.68, 2 Pd 2.81
Au: 0.0000 0.5000 0.2500  8 Pd 2.68-2.90

Values from the calculation:
The density of states at the Fermi level comes out at 0.395 states/eV/atom. The calculated total energy is -3.97 eV/atom.

***

[4]
First-principles (GGA-PBE) data for a relaxed ZnPd2Au4 crystal, as listed in Alexandria via LeMat-Bulk.

a = 6.7937 Å, b = 5.5312 Å, c = 7.1606 Å
α = 90.00°, β = 116.16°, γ = 90.00°
Closest atoms and distances in Å follow each position.
Space group P2_1/m (No. 11)
Inequivalent atoms, fractional coordinates:
Zn: 0.0545 0.2500 0.3238  4 Pd 2.57-2.79, 4 Au 2.63-2.84
Pd: 0.0607 0.7500 0.3786  3 Zn 2.57-2.79, 4 Au 2.80-2.84
Pd: 0.2296 0.2500 0.0607  1 Zn 2.63, 8 Au 2.77-2.94, 1 Pd 2.88
Au: 0.2213 0.7500 0.0755  1 Zn 2.64, 4 Pd 2.77-2.83, 1 Au 2.85
Au: 0.3447 0.5016 0.7699  7 Au 2.75-3.03, 4 Pd 2.84-2.95, 1 Zn 2.84
Au: 0.4851 0.2500 0.4922  1 Zn 2.63, 5 Au 2.77-2.91, 2 Pd 2.80

Values from the calculation:
The density of states at the Fermi level comes out at 0.254 states/eV/atom. The calculated total energy is -3.65 eV/atom.

***

[5]
First-principles (GGA-PBE) data for a relaxed Zn5Pd12Au2 crystal, as listed in Alexandria via LeMat-Bulk.

a = 12.7683 Å, b = 7.1744 Å, c = 6.5604 Å
α = 90.00°, β = 90.32°, γ = 90.00°
Closest atoms and distances in Å follow each position.
Space group C2/m (No. 12)
Inequivalent atoms, fractional coordinates:
Zn: 0.0000 0.0000 0.0000  4 Pd 2.51
Zn: 0.1500 0.5000 0.4290  8 Pd 2.57-2.87, 2 Au 2.84
Zn: 0.2477 0.0000 0.0275  10 Pd 2.51-2.80
Pd: 0.0573 0.5000 0.7762  2 Zn 2.57-2.80, 6 Pd 2.72-2.75, 2 Au 2.82
Pd: 0.1050 0.2792 0.1074  4 Zn 2.51-2.76, 4 Pd 2.72-2.80
Pd: 0.1642 0.0000 0.3729  2 Zn 2.51-2.70, 4 Pd 2.74-2.76, 2 Au 2.74
Pd: 0.1944 0.2092 0.7167  4 Zn 2.62-2.87, 5 Pd 2.74-2.86, 1 Au 2.85
Au: 0.0000 0.2161 0.5000  8 Pd 2.74-2.95, 2 Zn 2.84

Values from the calculation:
The density of states at the Fermi level comes out at 0.509 states/eV/atom. The calculated total energy is -4.22 eV/atom.

***

[6]
First-principles (GGA-PBE) data for a relaxed Zn8PdAu3 crystal, as listed in Alexandria via LeMat-Bulk.

a = 7.0182 Å, b = 7.0182 Å, c = 9.2699 Å
α = 90.00°, β = 90.00°, γ = 90.00°
Closest atoms and distances in Å follow each position.
Space group I-42m (No. 121)
Inequivalent atoms, fractional coordinates:
Zn: 0.1350 0.1350 0.2643  3 Zn 2.52-2.68, 1 Pd 2.56, 3 Au 2.73-2.79
Zn: 0.2455 0.2455 0.5243  1 Pd 2.45, 2 Zn 2.52-2.65, 1 Au 2.54
Pd: 0.0000 0.0000 0.5000  8 Zn 2.45-2.56
Au: 0.0000 0.0000 0.0000  8 Zn 2.54-2.79
Au: 0.0000 0.5000 0.2500  4 Zn 2.73

Values from the calculation:
The energy above the lowest structure with this stoichiometry comes out at 0.137 eV/atom. The density of states at the Fermi level comes out at 0.412 states/eV/atom. The calculated total energy is -2.13 eV/atom.

***

[7]
First-principles (GGA-PBE) data for a relaxed Zn2PdAu crystal, as listed in Alexandria via LeMat-Bulk.

a = 5.0825 Å, b = 2.9758 Å, c = 8.5377 Å
α = 90.00°, β = 101.40°, γ = 90.00°
Closest atoms and distances in Å follow each position.
Space group Cm (No. 8)
Inequivalent atoms, fractional coordinates:
Zn: 0.0000 0.0000 0.0000  3 Pd 2.62-2.63, 3 Au 2.77-2.78
Zn: 0.1696 0.0000 0.5244  3 Pd 2.62, 3 Au 2.78-2.79
Pd: 0.0842 0.5000 0.7621  6 Zn 2.62-2.63
Au: 0.4217 0.0000 0.2619  6 Zn 2.77-2.79, 6 Au 2.94-2.98

Values from the calculation:
The density of states at the Fermi level comes out at 0.454 states/eV/atom. The calculated total energy is -3.03 eV/atom.

***

[8]
First-principles (GGA-PBE) data for a relaxed Zn4Pd3Au crystal, as listed in Alexandria via LeMat-Bulk.

a = 2.9448 Å, b = 2.9448 Å, c = 13.7413 Å
α = 90.00°, β = 90.00°, γ = 90.00°
Closest atoms and distances in Å follow each position.
Space group P4/mmm (No. 123)
Inequivalent atoms, fractional coordinates:
Zn: 0.0000 0.0000 0.1215  8 Pd 2.66-2.67, 4 Zn 2.94
Zn: 0.0000 0.0000 0.3639  4 Pd 2.67, 4 Au 2.80, 4 Zn 2.94
Pd: 0.5000 0.5000 0.0000  8 Zn 2.67, 4 Pd 2.94
Pd: 0.5000 0.5000 0.2425  8 Zn 2.66-2.67, 4 Pd 2.94
Au: 0.5000 0.5000 0.5000  8 Zn 2.80, 4 Au 2.94

Values from the calculation:
The density of states at the Fermi level comes out at 0.177 states/eV/atom. The calculated total energy is -3.46 eV/atom.

***

[9]
First-principles (GGA-PBE) data for a relaxed Zn6PdAu8 crystal, as listed in Alexandria via LeMat-Bulk.

a = 7.5746 Å, b = 7.5746 Å, c = 16.1342 Å
α = 90.00°, β = 90.00°, γ = 120.00°
Closest atoms and distances in Å follow each position.
Space group R-3 (No. 148, hexagonal axes)
Inequivalent atoms, fractional coordinates:
Zn: 0.9999 0.3412 0.2223  7 Au 2.63-2.74, 1 Pd 2.65
Pd: 0.0000 0.0000 0.5000  6 Zn 2.65
Au: 0.0000 0.0000 0.1800  6 Zn 2.67-2.73
Au: 0.0008 0.6659 0.2812  5 Zn 2.63-2.74

Values from the calculation:
The density of states at the Fermi level comes out at 0.440 states/eV/atom. The calculated total energy is -2.75 eV/atom.

***

[10]
First-principles (GGA-PBE) data for a relaxed ZnPd4Au2 crystal, as listed in Alexandria via LeMat-Bulk.

a = 5.5401 Å, b = 7.1675 Å, c = 7.1797 Å
α = 75.45°, β = 67.49°, γ = 67.43°
Closest atoms and distances in Å follow each position.
Space group P1 (No. 1)
Inequivalent atoms, fractional coordinates:
Zn: 0.0000 0.0000 0.0000  6 Pd 2.58-2.62, 2 Zn 2.77-2.78, 2 Au 2.79-2.81
Zn: 0.4851 0.0142 0.0144  6 Pd 2.53-2.66, 2 Zn 2.77-2.78
Pd: 0.0188 0.2254 0.2256  2 Zn 2.53-2.61, 3 Pd 2.70-2.82, 3 Au 2.76-2.80
Pd: 0.4735 0.7820 0.7827  2 Zn 2.59-2.66, 4 Pd 2.69-2.87, 3 Au 2.72-2.76
Pd: 0.5312 0.2268 0.2246  2 Zn 2.53-2.62, 3 Pd 2.70-2.83, 3 Au 2.76-2.81
Pd: 0.6055 0.1533 0.6373  1 Zn 2.56, 2 Pd 2.68-2.85, 4 Au 2.77-2.83
Pd: 0.6064 0.6358 0.1519  1 Zn 2.56, 3 Pd 2.68-2.86, 4 Au 2.77-2.82
Pd: 0.8728 0.8674 0.3843  1 Zn 2.59, 3 Pd 2.68-2.82, 3 Au 2.78-2.84
Pd: 0.8782 0.3835 0.8652  1 Zn 2.59, 3 Pd 2.68-2.83, 3 Au 2.79-2.85
Pd: 0.9585 0.7835 0.7831  2 Zn 2.58-2.66, 4 Pd 2.69-2.86, 3 Au 2.72-2.76
Au: 0.1605 0.5778 0.1008  7 Pd 2.76-2.84, 1 Zn 2.79, 2 Au 3.02-3.03
Au: 0.1636 0.0996 0.5757  7 Pd 2.76-2.85, 1 Zn 2.81, 2 Au 3.03-3.04
Au: 0.2449 0.5101 0.5083  6 Pd 2.72-2.81, 4 Au 2.75-3.04
Au: 0.7419 0.5083 0.5078  6 Pd 2.72-2.80, 4 Au 2.75-3.03

Values from the calculation:
The energy above the lowest structure with this stoichiometry comes out at 0.000 eV/atom. The density of states at the Fermi level comes out at 0.640 states/eV/atom. The calculated total energy is -4.13 eV/atom.

***

Please write out number 6 again, unchanged.
First-principles (GGA-PBE) data for a relaxed Zn8PdAu3 crystal, as listed in Alexandria via LeMat-Bulk.

a = 7.0182 Å, b = 7.0182 Å, c = 9.2699 Å
α = 90.00°, β = 90.00°, γ = 90.00°
Closest atoms and distances in Å follow each position.
Space group I-42m (No. 121)
Inequivalent atoms, fractional coordinates:
Zn: 0.1350 0.1350 0.2643  3 Zn 2.52-2.68, 1 Pd 2.56, 3 Au 2.73-2.79
Zn: 0.2455 0.2455 0.5243  1 Pd 2.45, 2 Zn 2.52-2.65, 1 Au 2.54
Pd: 0.0000 0.0000 0.5000  8 Zn 2.45-2.56
Au: 0.0000 0.0000 0.0000  8 Zn 2.54-2.79
Au: 0.0000 0.5000 0.2500  4 Zn 2.73

Values from the calculation:
The energy above the lowest structure with this stoichiometry comes out at 0.137 eV/atom. The density of states at the Fermi level comes out at 0.412 states/eV/atom. The calculated total energy is -2.13 eV/atom.